Record 1
Density functional theory data (GGA-PBE) for an optimized crystal structure of NpBi2Rh.

Unit cell a=4.7053 b=4.7053 c=4.3307 alpha=90.00 beta=90.00 gamma=90.00
With the nearest neighbours (Å) after each atom.
Space group P4/mmm (No. 123)
One atom of each set of equivalent atoms:
Np 0.0000 0.0000 0.0000 [1 per cell]  8 Bi 3.20, 4 Rh 3.33
Bi 0.0000 0.5000 0.5000 [2 per cell]  4 Np 3.20, 4 Rh 3.20, 4 Bi 3.33
Rh 0.5000 0.5000 0.0000 [1 per cell]  8 Bi 3.20, 4 Np 3.33

Properties
ΔE_f ... 0.09 eV/atom

=====

Record 2
Density functional theory data (GGA-PBE) for an optimized crystal structure of NpBiRh.

Unit cell a=3.4877 b=3.4877 c=11.4174 alpha=90.00 beta=90.00 gamma=90.00
With the nearest neighbours (Å) after each atom.
Space group I4mm (No. 107)
One atom of each set of equivalent atoms:
Np 0.0000 0.0000 0.0000 [2 per cell]  4 Rh 2.80
Bi 0.0000 0.0000 0.7086 [2 per cell]  4 Rh 3.18, 5 Np 3.33-3.43, 4 Bi 3.49
Rh 0.0000 0.0000 0.3840 [2 per cell]  4 Np 2.80

Properties
ΔE_f ... -0.04 eV/atom

=====

Record 3
Density functional theory data (GGA-PBE) for an optimized crystal structure of Np2BiRh9.

Unit cell a=4.0232 b=4.0232 c=12.1415 alpha=90.00 beta=90.00 gamma=90.00
With the nearest neighbours (Å) after each atom.
Space group P4/mmm (No. 123)
One atom of each set of equivalent atoms:
Np 0.0000 0.0000 0.1656 [2 per cell]  12 Rh 2.80-2.84
Bi 0.0000 0.0000 0.5000 [1 per cell]  12 Rh 2.84-2.92
Rh 0.0000 0.5000 0.0000 [2 per cell]  4 Np 2.84, 8 Rh 2.84-2.85
Rh 0.0000 0.5000 0.3262 [4 per cell]  8 Rh 2.80-2.92, 2 Np 2.80, 2 Bi 2.92
Rh 0.5000 0.5000 0.1659 [2 per cell]  8 Rh 2.80-2.85, 4 Np 2.84
Rh 0.5000 0.5000 0.5000 [1 per cell]  4 Bi 2.84, 8 Rh 2.92

Properties
ΔE_f ... -0.28 eV/atom

=====

Record 4
Density functional theory data (GGA-PBE) for an optimized crystal structure of NpBi2Rh.

Unit cell a=4.6580 b=4.6580 c=18.3176 alpha=90.00 beta=90.00 gamma=90.00
With the nearest neighbours (Å) after each atom.
Space group I4/mmm (No. 139)
One atom of each set of equivalent atoms:
Np 0.0000 0.0000 0.1423 [4 per cell]  4 Rh 3.05, 4 Bi 3.31
Bi 0.0000 0.0000 0.3410 [4 per cell]  4 Rh 2.86
Bi 0.0000 0.5000 0.0000 [4 per cell]  4 Bi 3.29, 4 Np 3.50
Rh 0.0000 0.5000 0.2500 [4 per cell]  4 Bi 2.86, 4 Np 3.05

Properties
ΔE_f ... -0.11 eV/atom

=====

Record 5
Density functional theory data (GGA-PBE) for an optimized crystal structure of NpBiRh.

Unit cell a=4.5329 b=4.5329 c=4.0085 alpha=90.00 beta=90.00 gamma=120.00
With the nearest neighbours (Å) after each atom.
Space group P3m1 (No. 156)
One atom of each set of equivalent atoms:
Np 0.0000 0.0000 0.0000 [1 per cell]  3 Rh 2.94, 3 Bi 3.23
Bi 0.3333 0.6667 0.5289 [1 per cell]  3 Rh 2.73
Rh 0.6667 0.3333 0.3355 [1 per cell]  3 Bi 2.73, 3 Np 2.94

Properties
ΔE_f ... -0.06 eV/atom

=====

Record 6
Density functional theory data (GGA-PBE) for an optimized crystal structure of NpBiS4.

Unit cell a=8.8068 b=11.1246 c=7.9812 alpha=90.00 beta=90.00 gamma=90.00
With the nearest neighbours (Å) after each atom.
Space group Cmcm (No. 63)
One atom of each set of equivalent atoms:
Np 0.0000 0.0141 0.2500 [4 per cell]  6 S 2.55-2.65
Bi 0.0000 0.3449 0.7500 [4 per cell]  4 S 2.58-2.83
S 0.0000 0.1543 0.5149 [8 per cell]  2 Np 2.63-2.65, 1 Bi 2.83
S 0.2111 0.4948 0.2500 [8 per cell]  1 Np 2.55, 1 Bi 2.58

Properties
Uncorrected energy ... -36.57 eV/f.u.

=====

Number 1: N(E_F) 13.7 states/eV/cell. Number 2: N(E_F) 13.3 states/eV/cell. Number 3: N(E_F) 23.0 states/eV/cell. Number 4: N(E_F) 50.5 states/eV/cell. Number 5: N(E_F) 9.3 states/eV/cell. Number 6: N(E_F) 26.4 states/eV/cell.